Entry i
Below is a PBEsol-optimized structure of Re2TcIr, with properties calculated at the SCAN level.

a = 2.724 Å, b = 2.724 Å, c = 9.058 Å
α = 81.35°, β = 81.35°, γ = 60.00°
Fractional positions:
Ir 0.250 0.250 0.250
Re 0.751 0.751 0.747
Tc 0.499 0.499 0.502
Re 0.000 0.000 0.001

Summary:
Size of the total moment: 0.0 μB/f.u.
D(E_F): 0.874 states/eV per atom

=====

Entry ii
Below is a PBEsol-optimized structure of Re2TcIr, with properties calculated at the SCAN level.

a = 2.715 Å, b = 3.867 Å, c = 5.458 Å
α = 90.00°, β = 90.00°, γ = 90.00°
Fractional positions:
Re 0.000 0.000 0.003
Re 0.500 0.500 0.254
Tc 0.000 0.000 0.493
Ir 0.500 0.500 0.750

Summary:
Size of the total moment: 0.0 μB/f.u.
D(E_F): 0.703 states/eV per atom

=====

Least stable structure: entry i

=====

Entry i
Below is a PBEsol-optimized structure of Re2TcIr, with properties calculated at the SCAN level.

a = 4.351 Å, b = 4.351 Å, c = 4.351 Å
α = 60.00°, β = 60.00°, γ = 60.00°
Site moments in Bohr magnetons follow the coordinates.
Fractional positions:
Re 0.750 0.750 0.750  0.11
Ir 0.500 0.500 0.500  0.58
Tc 0.250 0.250 0.250  0.48
Re 0.000 0.000 0.000  -0.05

Summary:
Size of the total moment: 1.1 μB/f.u.
D(E_F): 0.934 states/eV per atom

=====

Entry ii
Below is a PBEsol-optimized structure of Re2TcIr, with properties calculated at the SCAN level.

a = 2.723 Å, b = 2.723 Å, c = 7.731 Å
α = 90.00°, β = 90.00°, γ = 90.00°
Fractional positions:
Ir 0.500 0.500 0.752
Tc 0.000 0.000 0.497
Re 0.500 0.500 0.254
Re 0.000 0.000 0.998

Summary:
Size of the total moment: 0.0 μB/f.u.
D(E_F): 0.782 states/eV per atom

=====

Least stable structure: entry i

=====

Entry i
Below is a PBEsol-optimized structure of ReTcIr2, with properties calculated at the SCAN level.

a = 2.713 Å, b = 2.713 Å, c = 7.739 Å
α = 90.00°, β = 90.00°, γ = 90.00°
Fractional positions:
Ir 0.000 0.000 0.990
Re 0.000 0.000 0.493
Ir 0.500 0.500 0.258
Tc 0.500 0.500 0.758

Summary:
Size of the total moment: 0.0 μB/f.u.
D(E_F): 0.777 states/eV per atom

=====

Entry ii
Below is a PBEsol-optimized structure of ReTcIr2, with properties calculated at the SCAN level.

a = 2.713 Å, b = 2.713 Å, c = 9.027 Å
α = 81.36°, β = 81.36°, γ = 60.00°
Fractional positions:
Re 0.500 0.500 0.500
Tc 0.250 0.250 0.249
Ir 0.751 0.751 0.747
Ir 0.999 0.999 0.004

Summary:
Size of the total moment: 0.0 μB/f.u.
D(E_F): 0.785 states/eV per atom

=====

Least stable structure: entry ii

=====

Entry i
Below is a PBEsol-optimized structure of ReTcIr2, with properties calculated at the SCAN level.

a = 2.713 Å, b = 4.342 Å, c = 4.771 Å
α = 90.00°, β = 90.00°, γ = 90.00°
Fractional positions:
Ir 0.000 0.500 0.709
Tc 0.500 0.500 0.210
Ir 0.000 0.000 0.044
Re 0.500 0.000 0.537

Summary:
Size of the total moment: 0.0 μB/f.u.
D(E_F): 0.487 states/eV per atom

=====

Entry ii
Below is a PBEsol-optimized structure of ReTcIr2, with properties calculated at the SCAN level.

a = 2.707 Å, b = 4.684 Å, c = 4.716 Å
α = 99.54°, β = 106.68°, γ = 90.00°
Fractional positions:
Ir 0.250 0.250 0.500
Re 0.500 0.000 0.000
Ir 0.750 0.750 0.500
Tc 0.000 0.500 0.000

Summary:
Size of the total moment: 0.0 μB/f.u.
D(E_F): 0.926 states/eV per atom

=====

Least stable structure: entry ii

=====

Entry i
Below is a PBEsol-optimized structure of ReIr2W, with properties calculated at the SCAN level.

a = 2.735 Å, b = 4.394 Å, c = 4.799 Å
α = 90.00°, β = 90.00°, γ = 90.00°
Fractional positions:
Ir 0.000 0.500 0.702
Re 0.500 0.000 0.546
W 0.500 0.500 0.209
Ir 0.000 0.000 0.043

Summary:
Size of the total moment: 0.0 μB/f.u.
D(E_F): 0.382 states/eV per atom

=====

Entry ii
Below is a PBEsol-optimized structure of ReIr2W, with properties calculated at the SCAN level.

a = 2.724 Å, b = 4.757 Å, c = 4.757 Å
α = 110.14°, β = 90.00°, γ = 90.00°
Fractional positions:
Ir 0.000 0.500 0.000
Re 0.500 0.000 0.000
W 0.500 0.500 0.500
Ir 0.000 0.000 0.500

Summary:
Size of the total moment: 0.0 μB/f.u.
D(E_F): 0.570 states/eV per atom

=====

Least stable structure: entry ii

=====

Entry i
Below is a PBEsol-optimized structure of YReIr2, with properties calculated at the SCAN level.

a = 2.788 Å, b = 4.854 Å, c = 5.182 Å
α = 98.68°, β = 90.00°, γ = 106.69°
Fractional positions:
Y 0.000 0.000 0.500
Re 0.500 0.000 0.000
Ir 0.756 0.511 0.791
Ir 0.244 0.489 0.209

Summary:
Size of the total moment: 0.0 μB/f.u.
D(E_F): 0.750 states/eV per atom

=====

Entry ii
Below is a PBEsol-optimized structure of YReIr2, with properties calculated at the SCAN level.

a = 2.864 Å, b = 4.777 Å, c = 4.777 Å
α = 90.00°, β = 90.00°, γ = 90.00°
Fractional positions:
Ir 0.000 0.500 0.000
Ir 0.000 0.000 0.500
Y 0.500 0.000 0.000
Re 0.500 0.500 0.500

Summary:
Size of the total moment: 0.0 μB/f.u.
D(E_F): 0.710 states/eV per atom

=====

Least stable structure: entry i

=====

Entry i
Below is a PBEsol-optimized structure of ZrRe2Ir, with properties calculated at the SCAN level.

a = 4.467 Å, b = 4.467 Å, c = 4.467 Å
α = 60.00°, β = 60.00°, γ = 60.00°
Site moments in Bohr magnetons follow the coordinates.
Fractional positions:
Zr 0.500 0.500 0.500  0.00
Re 0.750 0.750 0.750  0.35
Re 0.250 0.250 0.250  0.35
Ir 0.000 0.000 0.000  0.49

Summary:
Size of the total moment: 1.3 μB/f.u.
D(E_F): 1.210 states/eV per atom

=====

Entry ii
Below is a PBEsol-optimized structure of ZrRe2Ir, with properties calculated at the SCAN level.

a = 3.881 Å, b = 3.882 Å, c = 5.011 Å
α = 112.79°, β = 112.78°, γ = 90.00°
Fractional positions:
Ir 0.500 0.000 0.000
Zr 0.000 0.500 0.000
Re 0.750 0.750 0.500
Re 0.250 0.250 0.500

Summary:
Size of the total moment: 0.0 μB/f.u.
D(E_F): 1.077 states/eV per atom

=====

Least stable structure: entry i

=====

Entry i
Below is a PBEsol-optimized structure of ZrRe2Ir, with properties calculated at the SCAN level.

a = 4.475 Å, b = 4.475 Å, c = 4.475 Å
α = 60.00°, β = 60.00°, γ = 60.00°
Site moments in Bohr magnetons follow the coordinates.
Fractional positions:
Re 0.000 0.000 0.000  -0.02
Zr 0.250 0.250 0.250  0.01
Re 0.750 0.750 0.750  0.62
Ir 0.500 0.500 0.500  0.61

Summary:
Size of the total moment: 1.3 μB/f.u.
D(E_F): 0.851 states/eV per atom

=====

Entry ii
Below is a PBEsol-optimized structure of ZrRe2Ir, with properties calculated at the SCAN level.

a = 2.754 Å, b = 2.754 Å, c = 9.724 Å
α = 81.86°, β = 81.86°, γ = 60.00°
Fractional positions:
Ir 0.500 0.500 0.500
Re 0.243 0.243 0.271
Zr 0.000 0.000 0.000
Re 0.757 0.757 0.729

Summary:
Size of the total moment: 0.0 μB/f.u.
D(E_F): 0.871 states/eV per atom

=====

Least stable structure: entry ii

=====

Entry i
Below is a PBEsol-optimized structure of ZrRe2Ir, with properties calculated at the SCAN level.

a = 3.864 Å, b = 3.864 Å, c = 4.223 Å
α = 90.00°, β = 90.00°, γ = 90.00°
Fractional positions:
Re 0.000 0.500 0.000
Re 0.500 0.000 0.000
Zr 0.500 0.500 0.500
Ir 0.000 0.000 0.500

Summary:
Size of the total moment: 0.0 μB/f.u.
D(E_F): 1.153 states/eV per atom

=====

Entry ii
Below is a PBEsol-optimized structure of ZrRe2Ir, with properties calculated at the SCAN level.

a = 2.738 Å, b = 2.738 Å, c = 8.455 Å
α = 90.00°, β = 90.00°, γ = 90.00°
Fractional positions:
Re 0.000 0.000 0.725
Re 0.000 0.000 0.275
Ir 0.500 0.500 0.500
Zr 0.500 0.500 0.000

Summary:
Size of the total moment: 0.0 μB/f.u.
D(E_F): 1.127 states/eV per atom

=====

Least stable structure: entry ii

=====

Entry i
Below is a PBEsol-optimized structure of Ir2RuRh, with properties calculated at the SCAN level.

a = 2.661 Å, b = 4.615 Å, c = 5.321 Å
α = 115.65°, β = 104.40°, γ = 90.18°
Site moments in Bohr magnetons follow the coordinates.
Fractional positions:
Rh 0.500 0.500 0.000  0.02
Ru 0.000 0.000 0.000  1.05
Ir 0.500 0.500 0.500  0.19
Ir 0.000 0.000 0.500  0.19

Summary:
Size of the total moment: 1.4 μB/f.u.
D(E_F): 0.936 states/eV per atom

=====

Entry ii
Below is a PBEsol-optimized structure of Ir2RuRh, with properties calculated at the SCAN level.

a = 4.315 Å, b = 4.315 Å, c = 4.315 Å
α = 60.00°, β = 60.00°, γ = 60.00°
Site moments in Bohr magnetons follow the coordinates.
Fractional positions:
Rh 0.000 0.000 0.000  0.17
Ir 0.250 0.250 0.250  0.66
Ir 0.750 0.750 0.750  0.66
Ru 0.500 0.500 0.500  1.39

Summary:
Size of the total moment: 2.8 μB/f.u.
D(E_F): 1.107 states/eV per atom

=====

Least stable structure: entry ii

=====

Entry i
Below is a PBEsol-optimized structure of Ir2RuRh, with properties calculated at the SCAN level.

a = 2.686 Å, b = 2.686 Å, c = 8.920 Å
α = 81.34°, β = 81.34°, γ = 60.00°
Fractional positions:
Ru 0.250 0.250 0.250
Ir 0.750 0.750 0.749
Ir 0.999 0.999 0.004
Rh 0.501 0.501 0.496

Summary:
Size of the total moment: 0.0 μB/f.u.
D(E_F): 0.867 states/eV per atom

=====

Entry ii
Below is a PBEsol-optimized structure of Ir2RuRh, with properties calculated at the SCAN level.

a = 2.688 Å, b = 4.649 Å, c = 4.649 Å
α = 109.41°, β = 90.00°, γ = 90.00°
Fractional positions:
Ru 0.500 0.500 0.500
Ir 0.000 0.000 0.500
Rh 0.500 0.000 0.000
Ir 0.000 0.500 0.000

Summary:
Size of the total moment: 0.0 μB/f.u.
D(E_F): 0.907 states/eV per atom

=====

Entry iii
Below is a PBEsol-optimized structure of Ir2RuRh, with properties calculated at the SCAN level.

a = 2.685 Å, b = 3.796 Å, c = 5.376 Å
α = 90.00°, β = 90.00°, γ = 90.00°
Fractional positions:
Ru 0.500 0.500 0.500
Rh 0.500 0.500 0.000
Ir 0.000 0.000 0.747
Ir 0.000 0.000 0.253

Summary:
Size of the total moment: 0.0 μB/f.u.
D(E_F): 0.904 states/eV per atom

=====

Entry iv
Below is a PBEsol-optimized structure of Ir2RuRh, with properties calculated at the SCAN level.

a = 3.793 Å, b = 3.800 Å, c = 3.800 Å
α = 90.00°, β = 90.00°, γ = 90.00°
Fractional positions:
Ir 0.000 0.500 0.000
Ru 0.500 0.000 0.000
Rh 0.500 0.500 0.500
Ir 0.000 0.000 0.500

Summary:
Size of the total moment: 0.0 μB/f.u.
D(E_F): 0.952 states/eV per atom

=====

Least stable structure: entry i

=====

Entry i
Below is a PBEsol-optimized structure of Sr2IrRh, with properties calculated at the SCAN level.

a = 4.270 Å, b = 4.270 Å, c = 5.624 Å
α = 112.31°, β = 112.31°, γ = 90.00°
Fractional positions:
Sr 0.000 0.000 0.000
Ir 0.500 0.500 0.000
Rh 0.250 0.750 0.500
Sr 0.750 0.250 0.500

Summary:
Size of the total moment: 0.0 μB/f.u.
D(E_F): 0.758 states/eV per atom

=====

Entry ii
Below is a PBEsol-optimized structure of Sr2IrRh, with properties calculated at the SCAN level.

a = 4.496 Å, b = 4.682 Å, c = 5.615 Å
α = 114.64°, β = 90.00°, γ = 90.00°
Fractional positions:
Rh 0.500 0.712 0.423
Sr 0.500 0.396 0.792
Ir 0.000 0.791 0.581
Sr 0.000 0.103 0.207

Summary:
Size of the total moment: 0.0 μB/f.u.
D(E_F): 0.463 states/eV per atom

=====

Least stable structure: entry i